# Ac4Pt2S, relaxed, DFT PBE-GGA
data_Ac4Pt2S
_symmetry_space_group_name_H-M 'P -1'
_symmetry_Int_Tables_number 2
_cell_length_a 4.3704
_cell_length_b 7.6722
_cell_length_c 8.4084
_cell_angle_alpha 115.94
_cell_angle_beta 105.03
_cell_angle_gamma 90.05
loop_
_symmetry_equiv_pos_as_xyz
'x,y,z'
'-x,-y,-z'
loop_
_atom_site_label
_atom_site_type_symbol
_atom_site_fract_x
_atom_site_fract_y
_atom_site_fract_z
_atom_site_occupancy
Ac1 Ac 0.1286 0.4498 0.2562 1
Ac2 Ac 0.3630 0.0056 0.7251 1
Pt1 Pt 0.2650 0.2688 0.5307 1
S1 S 0.0000 0.0000 0.0000 1
# Formation energy without anion corrections in meV/atom: -1197
# N(E_F) in states/eV per atom: 0.804
# Offset from the most stable computed form in meV/atom: 0

# AcSbPtS, relaxed, DFT PBE-GGA
data_AcSbPtS
_symmetry_space_group_name_H-M 'R -3 m'
_symmetry_Int_Tables_number 166
_symmetry_space_group_name_Hall '-R 3 2"'
_cell_length_a 4.6450
_cell_length_b 4.6450
_cell_length_c 35.5804
_cell_angle_alpha 90.00
_cell_angle_beta 90.00
_cell_angle_gamma 120.00
loop_
_atom_site_label
_atom_site_type_symbol
_atom_site_fract_x
_atom_site_fract_y
_atom_site_fract_z
_atom_site_occupancy
Ac1 Ac 0.0000 0.0000 0.1086 1
Sb1 Sb 0.0000 0.0000 0.2977 1
Pt1 Pt 0.0000 0.0000 0.3742 1
S1 S 0.0000 0.0000 0.1962 1
# Formation energy without anion corrections in meV/atom: -1229
# N(E_F) in states/eV per atom: 0.499

# Ac6Pt2Se3S, relaxed, DFT PBE-GGA
data_Ac6Pt2Se3S
_symmetry_space_group_name_H-M 'C 1 2/m 1'
_symmetry_Int_Tables_number 12
_cell_length_a 7.6091
_cell_length_b 13.1709
_cell_length_c 7.9981
_cell_angle_alpha 90.00
_cell_angle_beta 108.31
_cell_angle_gamma 90.00
loop_
_symmetry_equiv_pos_as_xyz
'x,y,z'
'-x,-y,-z'
'-x,y,-z'
'x,-y,z'
'x+1/2,y+1/2,z'
'-x+1/2,-y+1/2,-z'
'-x+1/2,y+1/2,-z'
'x+1/2,-y+1/2,z'
loop_
_atom_site_label
_atom_site_type_symbol
_atom_site_fract_x
_atom_site_fract_y
_atom_site_fract_z
_atom_site_occupancy
Ac1 Ac 0.2367 0.0000 0.2330 1
Ac2 Ac 0.2481 0.3295 0.2316 1
Pt1 Pt 0.0000 0.1671 0.0000 1
Se1 Se 0.0000 0.0000 0.5000 1
Se2 Se 0.0000 0.3374 0.5000 1
S1 S 0.0000 0.5000 0.0000 1
# Formation energy without anion corrections in meV/atom: -1646
# N(E_F) in states/eV per atom: 0.574

# Ac4PtSe2S, relaxed, DFT PBE-GGA
data_Ac4PtSe2S
_symmetry_space_group_name_H-M 'P 1 2/m 1'
_symmetry_Int_Tables_number 10
_cell_length_a 7.7538
_cell_length_b 4.3377
_cell_length_c 7.8589
_cell_angle_alpha 90.00
_cell_angle_beta 109.38
_cell_angle_gamma 90.00
loop_
_symmetry_equiv_pos_as_xyz
'x,y,z'
'-x,-y,-z'
'-x,y,-z'
'x,-y,z'
loop_
_atom_site_label
_atom_site_type_symbol
_atom_site_fract_x
_atom_site_fract_y
_atom_site_fract_z
_atom_site_occupancy
Ac1 Ac 0.2358 0.0000 0.2300 1
Ac2 Ac 0.2568 0.5000 0.7593 1
Pt1 Pt 0.0000 0.5000 0.0000 1
Se1 Se 0.0000 0.0000 0.5000 1
Se2 Se 0.5000 0.5000 0.5000 1
S1 S 0.5000 0.0000 0.0000 1
# Formation energy without anion corrections in meV/atom: -1711
# N(E_F) in states/eV per atom: 0.706

# Ac6Pt3SeS2, relaxed, DFT PBE-GGA
data_Ac6Pt3SeS2
_symmetry_space_group_name_H-M 'C 1 2/m 1'
_symmetry_Int_Tables_number 12
_cell_length_a 19.7723
_cell_length_b 4.3188
_cell_length_c 9.1471
_cell_angle_alpha 90.00
_cell_angle_beta 107.67
_cell_angle_gamma 90.00
loop_
_symmetry_equiv_pos_as_xyz
'x,y,z'
'-x,-y,-z'
'-x,y,-z'
'x,-y,z'
'x+1/2,y+1/2,z'
'-x+1/2,-y+1/2,-z'
'-x+1/2,y+1/2,-z'
'x+1/2,-y+1/2,z'
loop_
_atom_site_label
_atom_site_type_symbol
_atom_site_fract_x
_atom_site_fract_y
_atom_site_fract_z
_atom_site_occupancy
Ac1 Ac 0.0032 0.0000 0.2359 1
Ac2 Ac 0.1642 0.5000 0.0902 1
Ac3 Ac 0.1720 0.5000 0.5748 1
Pt1 Pt 0.0000 0.5000 0.0000 1
Pt2 Pt 0.1663 0.0000 0.3312 1
Se1 Se 0.0000 0.5000 0.5000 1
S1 S 0.1669 0.0000 0.8330 1
# Formation energy without anion corrections in meV/atom: -1539
# N(E_F) in states/eV per atom: 0.276

# Ac8Pt3SeS4, relaxed, DFT PBE-GGA
data_Ac8Pt3SeS4
_symmetry_space_group_name_H-M 'R -3 m'
_symmetry_Int_Tables_number 166
_symmetry_space_group_name_Hall '-R 3 2"'
_cell_length_a 8.6836
_cell_length_b 8.6836
_cell_length_c 22.3476
_cell_angle_alpha 90.00
_cell_angle_beta 90.00
_cell_angle_gamma 120.00
loop_
_atom_site_label
_atom_site_type_symbol
_atom_site_fract_x
_atom_site_fract_y
_atom_site_fract_z
_atom_site_occupancy
Ac1 Ac 0.0000 0.0000 0.2453 1
Ac2 Ac 0.0073 0.5036 0.7504 1
Pt1 Pt 0.0000 0.5000 0.5000 1
Se1 Se 0.0000 0.0000 0.5000 1
S1 S 0.0000 0.0000 0.0000 1
S2 S 0.0000 0.5000 0.0000 1
# Formation energy without anion corrections in meV/atom: -1619
# N(E_F) in states/eV per atom: 0.918

# Ac8Pt4SeS3, relaxed, DFT PBE-GGA
data_Ac8Pt4SeS3
_symmetry_space_group_name_H-M 'R -3 m'
_symmetry_Int_Tables_number 166
_symmetry_space_group_name_Hall '-R 3 2"'
_cell_length_a 8.6395
_cell_length_b 8.6395
_cell_length_c 22.9342
_cell_angle_alpha 90.00
_cell_angle_beta 90.00
_cell_angle_gamma 120.00
loop_
_atom_site_label
_atom_site_type_symbol
_atom_site_fract_x
_atom_site_fract_y
_atom_site_fract_z
_atom_site_occupancy
Ac1 Ac 0.0000 0.0000 0.2454 1
Ac2 Ac 0.0033 0.5016 0.2443 1
Pt1 Pt 0.0000 0.0000 0.5000 1
Pt2 Pt 0.0000 0.5000 0.5000 1
Se1 Se 0.0000 0.0000 0.0000 1
S1 S 0.0000 0.5000 0.0000 1
# Formation energy without anion corrections in meV/atom: -1540
# N(E_F) in states/eV per atom: 0.328

# Ac8Pt4Se3S, relaxed, DFT PBE-GGA
data_Ac8Pt4Se3S
_symmetry_space_group_name_H-M 'R -3 m'
_symmetry_Int_Tables_number 166
_symmetry_space_group_name_Hall '-R 3 2"'
_cell_length_a 8.6970
_cell_length_b 8.6970
_cell_length_c 23.2031
_cell_angle_alpha 90.00
_cell_angle_beta 90.00
_cell_angle_gamma 120.00
loop_
_atom_site_label
_atom_site_type_symbol
_atom_site_fract_x
_atom_site_fract_y
_atom_site_fract_z
_atom_site_occupancy
Ac1 Ac 0.0000 0.0000 0.2422 1
Ac2 Ac 0.0033 0.5017 0.7567 1
Pt1 Pt 0.0000 0.0000 0.5000 1
Pt2 Pt 0.0000 0.5000 0.5000 1
Se1 Se 0.0000 0.5000 0.0000 1
S1 S 0.0000 0.0000 0.0000 1
# Formation energy without anion corrections in meV/atom: -1525
# N(E_F) in states/eV per atom: 0.339

Question: The highest N(E_F) belongs to which entry?
Answer: Ac8Pt3SeS4

Question: Among the records above, which one has the lowest N(E_F)?
Answer: Ac6Pt3SeS2